1.
Compound: Sc3TiAu
Source: the Alexandria database
Functional: PBE
Structure: relaxed

Space-group type = No. 221
Relative energy among the computed polymorphs = 0.0 meV/atom
Calculated formation energy = 355 meV per atom

Cell lengths 5.151, 5.151, 5.151 Å; angles 90.00, 90.00, 90.00 degrees
Each line ends with the local moment (μB).
Fractional coordinates of all 5 atoms:
Sc 0.000 0.500 0.000  0.05
Sc 0.000 0.000 0.500  0.09
Sc 0.500 0.000 0.000  0.04
Au 0.000 0.000 0.000  0.00
Ti 0.500 0.500 0.500  1.55

2.
Compound: PrSm2Tm4Sc
Source: the Alexandria database
Functional: PBE
Structure: relaxed

Space-group type = No. 15
Calculated formation energy = 425 meV per atom

Cell lengths 9.380, 9.380, 11.654 Å; angles 128.40, 128.40, 88.39 degrees
Each line ends with the local moment (μB).
Fractional coordinates of all 16 atoms:
Pr 0.000 0.500 0.000  0.08
Pr 0.000 0.500 0.500  0.08
Sm 0.500 0.000 0.000  0.06
Sm 0.500 0.000 0.500  0.06
Sm 0.000 0.000 0.500  0.13
Sm 0.500 0.500 0.000  0.13
Tm 0.237 0.763 0.000  0.14
Tm 0.737 0.263 0.500  0.14
Tm 0.263 0.737 0.500  0.14
Tm 0.763 0.237 0.000  0.14
Tm 0.749 0.749 0.984  0.09
Tm 0.751 0.751 0.516  0.09
Tm 0.249 0.249 0.484  0.09
Tm 0.251 0.251 0.016  0.09
Sc 0.500 0.500 0.500  0.13
Sc 0.000 0.000 0.000  0.13

3.
Compound: LaTm4In2
Source: the Alexandria database
Functional: PBE
Structure: relaxed

Space-group type = No. 136
Relative energy among the computed polymorphs = 0.0 meV/atom
Calculated formation energy = -203 meV per atom

Cell lengths 5.083, 9.203, 9.203 Å; angles 90.00, 90.00, 90.00 degrees
Fractional coordinates of all 14 atoms:
La 0.500 0.000 0.000
La 0.000 0.500 0.500
Tm 0.000 0.101 0.355
Tm 0.000 0.899 0.645
Tm 0.500 0.145 0.601
Tm 0.500 0.855 0.399
Tm 0.500 0.399 0.855
Tm 0.500 0.601 0.145
Tm 0.000 0.355 0.101
Tm 0.000 0.645 0.899
In 0.000 0.207 0.793
In 0.000 0.793 0.207
In 0.500 0.707 0.707
In 0.500 0.293 0.293

4.
Compound: Dy3Y6In
Source: the Alexandria database
Functional: PBE
Structure: relaxed

Space-group type = No. 11
Relative energy among the computed polymorphs = 0.0 meV/atom
Calculated formation energy = -81 meV per atom

Cell lengths 5.567, 9.671, 12.778 Å; angles 114.52, 90.00, 90.00 degrees
Fractional coordinates of all 20 atoms:
Dy 0.750 0.846 0.369
Dy 0.250 0.154 0.631
Dy 0.750 0.377 0.779
Dy 0.250 0.623 0.221
Dy 0.750 0.201 0.973
Dy 0.250 0.799 0.027
Y 0.750 0.609 0.071
Y 0.250 0.391 0.929
Y 0.750 0.023 0.174
Y 0.250 0.977 0.826
Y 0.750 0.977 0.668
Y 0.250 0.023 0.332
Y 0.750 0.251 0.491
Y 0.250 0.749 0.509
Y 0.750 0.456 0.300
Y 0.250 0.544 0.700
Y 0.750 0.785 0.862
Y 0.250 0.215 0.138
In 0.750 0.618 0.585
In 0.250 0.382 0.415

5.
Compound: Na2UPdSe4
Source: the Alexandria database
Functional: PBE
Structure: relaxed

Space-group type = No. 10
Uncorrected formation energy = -0.925 eV/atom

Cell lengths 4.149, 6.396, 7.540 Å; angles 108.25, 90.00, 90.00 degrees
Each line ends with the local moment (μB).
Fractional coordinates of all 8 atoms:
Na 0.500 0.000 0.500  0.00
Na 0.000 0.500 0.500  0.00
U 0.500 0.500 0.000  1.65
Pd 0.000 0.000 0.000  -0.03
Se 0.500 0.240 0.223  -0.05
Se 0.500 0.760 0.777  -0.05
Se 0.000 0.245 0.777  -0.04
Se 0.000 0.755 0.223  -0.04

6.
Compound: GeS2Cl
Source: the Alexandria database
Functional: PBE
Structure: relaxed

Space-group type = No. 166
Uncorrected formation energy = -0.004 eV/atom
Relative energy among the computed polymorphs = 292.8 meV/atom

Cell lengths 7.826, 7.826, 7.826 Å; angles 27.31, 27.31, 27.31 degrees
Fractional coordinates of all 4 atoms:
Ge 0.500 0.500 0.500
S 0.896 0.896 0.896
S 0.104 0.104 0.104
Cl 0.000 0.000 0.000

7.
Compound: TeP3
Source: the Alexandria database
Functional: PBE
Structure: relaxed

Space-group type = No. 187
Uncorrected formation energy = 0.485 eV/atom
Relative energy among the computed polymorphs = 286.2 meV/atom

Cell lengths 3.482, 3.482, 7.213 Å; angles 90.00, 90.00, 120.00 degrees
Fractional coordinates of all 4 atoms:
P 0.000 0.000 0.041
P 0.000 0.000 0.459
P 0.667 0.333 0.250
Te 0.667 0.333 0.750

8.
Compound: Cu4NiIr
Source: the Alexandria database
Functional: PBE
Structure: relaxed

Space-group type = No. 216
Relative energy among the computed polymorphs = 136.5 meV/atom
Calculated formation energy = 221 meV per atom

Cell lengths 4.713, 4.713, 4.713 Å; angles 60.00, 60.00, 60.00 degrees
Each line ends with the local moment (μB).
Fractional coordinates of all 6 atoms:
Cu 0.875 0.375 0.375  0.01
Cu 0.375 0.375 0.875  0.01
Cu 0.375 0.875 0.375  0.01
Cu 0.375 0.375 0.375  0.01
Ni 0.000 0.000 0.000  0.29
Ir 0.750 0.750 0.750  0.15

9.
Compound: LaZr3Ru
Source: the Alexandria database
Functional: PBE
Structure: relaxed

Space-group type = No. 221
Relative energy among the computed polymorphs = 0.0 meV/atom
Calculated formation energy = 85 meV per atom

Cell lengths 5.116, 5.116, 5.116 Å; angles 90.00, 90.00, 90.00 degrees
Fractional coordinates of all 5 atoms:
Ru 0.000 0.000 0.000
Zr 0.000 0.500 0.000
Zr 0.000 0.000 0.500
Zr 0.500 0.000 0.000
La 0.500 0.500 0.500

10.
Compound: Tb6SmY
Source: the Alexandria database
Functional: PBE
Structure: relaxed

Space-group type = No. 123
Relative energy among the computed polymorphs = 0.0 meV/atom
Calculated formation energy = 14 meV per atom

Cell lengths 5.042, 7.149, 7.149 Å; angles 89.99, 90.00, 90.00 degrees
Fractional coordinates of all 8 atoms:
Tb 0.500 0.000 0.500
Tb 0.500 0.500 0.000
Tb 0.000 0.250 0.250
Tb 0.000 0.750 0.750
Tb 0.000 0.750 0.250
Tb 0.000 0.250 0.750
Sm 0.500 0.000 0.000
Y 0.500 0.500 0.500

11.
Compound: GaCo2Re
Source: the Alexandria database
Functional: PBE
Structure: relaxed

Space-group type = No. 123
Calculated formation energy = -137 meV per atom

Cell lengths 2.669, 2.669, 6.901 Å; angles 90.00, 90.00, 90.00 degrees
Fractional coordinates of all 4 atoms:
Re 0.500 0.500 0.500
Co 0.000 0.000 0.756
Co 0.000 0.000 0.244
Ga 0.500 0.500 0.000

12.
Compound: RbBaSb2I
Source: the Alexandria database
Functional: PBE
Structure: relaxed

Space-group type = No. 123
Uncorrected formation energy = 0.107 eV/atom
Relative energy among the computed polymorphs = 293.2 meV/atom

Cell lengths 6.071, 6.071, 6.486 Å; angles 90.00, 90.00, 90.00 degrees
Each line ends with the local moment (μB).
Fractional coordinates of all 5 atoms:
I 0.000 0.000 0.500  0.05
Sb 0.000 0.500 0.000  0.14
Sb 0.500 0.000 0.000  0.14
Ba 0.500 0.500 0.500  0.00
Rb 0.000 0.000 0.000  0.02

13.
Compound: NaSnS4
Source: the Alexandria database
Functional: PBE
Structure: relaxed

Space-group type = No. 15
Uncorrected formation energy = -0.255 eV/atom

Cell lengths 6.551, 8.743, 7.792 Å; angles 107.36, 94.01, 128.66 degrees
Each line ends with the local moment (μB).
Fractional coordinates of all 12 atoms:
Na 0.361 0.111 0.723  0.00
Na 0.639 0.889 0.277  0.00
Sn 0.209 0.459 0.418  0.00
Sn 0.791 0.541 0.582  0.00
S 0.175 0.829 0.956  0.25
S 0.781 0.627 0.956  0.25
S 0.103 0.681 0.392  0.03
S 0.897 0.319 0.608  0.03
S 0.711 0.790 0.608  0.03
S 0.219 0.373 0.044  0.25
S 0.289 0.210 0.392  0.03
S 0.825 0.171 0.044  0.25

14.
Compound: ThSnTe3
Source: the Alexandria database
Functional: PBE
Structure: relaxed

Space-group type = No. 36
Uncorrected formation energy = -0.767 eV/atom
Relative energy among the computed polymorphs = 60.6 meV/atom

Cell lengths 4.561, 8.123, 11.042 Å; angles 90.00, 101.92, 90.00 degrees
Fractional coordinates of all 10 atoms:
Th 0.832 0.000 0.664
Th 0.168 0.500 0.336
Sn 0.348 0.478 0.695
Sn 0.652 0.978 0.305
Te 0.915 0.314 0.830
Te 0.085 0.814 0.170
Te 0.594 0.332 0.188
Te 0.406 0.832 0.812
Te 0.749 0.670 0.499
Te 0.251 0.170 0.501

15.
Compound: TcAg3F
Source: the Alexandria database
Functional: PBE
Structure: relaxed

Space-group type = No. 221
Uncorrected formation energy = 0.647 eV/atom
Relative energy among the computed polymorphs = 0.0 meV/atom

Cell lengths 4.570, 4.570, 4.570 Å; angles 90.00, 90.00, 90.00 degrees
Each line ends with the local moment (μB).
Fractional coordinates of all 5 atoms:
Tc 0.500 0.500 0.500  3.12
Ag 0.000 0.500 0.000  0.05
Ag 0.000 0.000 0.500  0.02
Ag 0.500 0.000 0.000  0.04
F 0.000 0.000 0.000  0.03

16.
Compound: GaSb3
Source: the Alexandria database
Functional: PBE
Structure: relaxed

Space-group type = No. 225
Uncorrected formation energy = 0.222 eV/atom
Relative energy among the computed polymorphs = 153.1 meV/atom

Cell lengths 5.250, 5.250, 5.250 Å; angles 60.00, 60.00, 60.00 degrees
Fractional coordinates of all 4 atoms:
Ga 0.000 0.000 0.000
Sb 0.250 0.250 0.250
Sb 0.750 0.750 0.750
Sb 0.500 0.500 0.500

17.
Compound: VTeSe4
Source: the Alexandria database
Functional: PBE
Structure: relaxed

Space-group type = No. 2
Uncorrected formation energy = -0.316 eV/atom

Cell lengths 6.009, 7.634, 7.931 Å; angles 108.08, 102.91, 99.21 degrees
Fractional coordinates of all 12 atoms:
V 0.751 0.000 0.002
V 0.249 0.000 0.998
Te 0.218 0.457 0.540
Te 0.782 0.543 0.460
Se 0.102 0.297 0.131
Se 0.041 0.895 0.210
Se 0.392 0.875 0.709
Se 0.608 0.125 0.291
Se 0.898 0.703 0.869
Se 0.519 0.223 0.907
Se 0.481 0.777 0.093
Se 0.959 0.105 0.790

18.
Compound: LiZnCu2
Source: the Alexandria database
Functional: PBE
Structure: relaxed

Space-group type = No. 12
Calculated formation energy = -81 meV per atom

Cell lengths 4.496, 5.927, 2.652 Å; angles 63.65, 89.86, 121.89 degrees
Fractional coordinates of all 4 atoms:
Zn 0.500 0.000 0.500
Cu 0.000 0.000 0.000
Cu 0.000 0.500 0.500
Li 0.500 0.500 0.000

19.
Compound: Al3Ir
Source: the Alexandria database
Functional: PBE
Structure: relaxed

Space-group type = No. 221
Calculated formation energy = -305 meV per atom

Cell lengths 4.760, 4.760, 4.760 Å; angles 90.00, 90.00, 90.00 degrees
Fractional coordinates of all 4 atoms:
Ir 0.000 0.000 0.000
Al 0.500 0.000 0.000
Al 0.000 0.500 0.000
Al 0.000 0.000 0.500

20.
Compound: CePrGePt
Source: the Alexandria database
Functional: PBE
Structure: relaxed

Space-group type = No. 129
Relative energy among the computed polymorphs = 125.5 meV/atom
Calculated formation energy = -628 meV per atom

Cell lengths 4.532, 4.532, 10.636 Å; angles 90.00, 90.00, 90.00 degrees
Each line ends with the local moment (μB).
Fractional coordinates of all 8 atoms:
Ce 0.000 0.000 0.500  0.20
Ce 0.500 0.500 0.500  0.20
Pr 0.000 0.500 0.835  0.00
Pr 0.500 0.000 0.165  0.00
Ge 0.500 0.000 0.893  0.00
Ge 0.000 0.500 0.107  0.00
Pt 0.000 0.500 0.332  -0.01
Pt 0.500 0.000 0.668  -0.01